The following is a PBEsol calculation of a relaxed FePPt crystal, from Alexandria.

Calculated values
Electronic total energy ... -7.68 eV/atom
DFT formation energy ... -438 meV per atom
SG ... F-43m, No. 216
Magnetization ... 0.0 μB per cell

abc: 3.811 3.811 3.811
angles: 60.00 60.00 60.00
Sites, in units of the cell vectors:
Fe  0.000  0.000  0.000
P  0.750  0.750  0.750
Pt  0.500  0.500  0.500